(1)
Co2HgRu: optimized geometry, PBE-GGA.

Structure (extended XYZ):
```
4
Lattice="-3.125 0.096 3.628 -4.373 -1.362 -1.403 4.356 -1.923 -0.522" Properties=species:S:1:pos:R:3 pbc="T T T"
Co 0.000 0.000 0.000
Co -1.883 -1.959 -0.406
Hg -3.749 -0.633 1.113
Ru -1.259 -1.230 2.109
```

Calculated values
- E: -5.445 eV/atom
- Formation energy: 0.5024 eV/atom
- Volume: 14.4 Å³/atom

---

(2)
PmTi4S8: optimized geometry, PBE-GGA.

Structure (extended XYZ):
```
13
Lattice="-1.653 5.544 3.770 -0.973 -0.619 6.808 5.569 2.861 4.558" Properties=species:S:1:pos:R:3 pbc="T T T"
Pm 1.471 3.893 7.568
Ti -0.487 -0.310 3.404
Ti -1.313 2.463 5.289
Ti -0.826 2.772 1.885
Ti 0.000 0.000 0.000
S 2.885 6.231 7.983
S -0.290 4.706 5.600
S 0.058 1.556 7.153
S -0.787 4.390 9.080
S 2.464 5.888 11.393
S 0.479 1.898 3.743
S 3.730 3.397 6.056
S 3.232 3.080 9.536
```

Calculated values
- E: -6.841 eV/atom
- Volume: 21.1 Å³/atom
- Energy relative to the elements, uncorrected: -1.507 eV per atom
- Energy above the most stable polymorph in this dataset: 0 meV per atom

---

Question: Among the records above, which one has the highest volume?
Answer: PmTi4S8

---

Copy entry 2 word for word.
PmTi4S8: optimized geometry, PBE-GGA.

Structure (extended XYZ):
```
13
Lattice="-1.653 5.544 3.770 -0.973 -0.619 6.808 5.569 2.861 4.558" Properties=species:S:1:pos:R:3 pbc="T T T"
Pm 1.471 3.893 7.568
Ti -0.487 -0.310 3.404
Ti -1.313 2.463 5.289
Ti -0.826 2.772 1.885
Ti 0.000 0.000 0.000
S 2.885 6.231 7.983
S -0.290 4.706 5.600
S 0.058 1.556 7.153
S -0.787 4.390 9.080
S 2.464 5.888 11.393
S 0.479 1.898 3.743
S 3.730 3.397 6.056
S 3.232 3.080 9.536
```

Calculated values
- E: -6.841 eV/atom
- Volume: 21.1 Å³/atom
- Energy relative to the elements, uncorrected: -1.507 eV per atom
- Energy above the most stable polymorph in this dataset: 0 meV per atom